1.
! Sr2Bi3 (SCAN, PBEsol geometry); values from VASP
! V ... 686.7 Å³/cell
! Space group ... Pnna, No. 52
! DFT formation energy ... -0.7842 eV per atom
&SYSTEM
  ibrav = 0, nat = 20, ntyp = 2
/
ATOMIC_SPECIES
Sr 87.62 Sr.upf
Bi 208.98 Bi.upf
CELL_PARAMETERS angstrom
-6.006 1.788 1.985
1.892 -0.809 6.451
4.555 14.733 0.511
ATOMIC_POSITIONS angstrom
Sr -1.749 8.519 3.358
Sr 2.191 7.193 5.589
Sr -0.556 4.065 4.226
Sr -1.024 0.259 2.110
Sr 1.466 15.453 6.837
Sr 0.997 11.647 4.721
Sr 0.776 3.791 0.247
Sr -2.227 12.730 2.249
Bi 0.939 6.608 2.330
Bi -2.886 6.300 5.633
Bi 4.445 12.162 4.218
Bi 3.327 9.412 3.314
Bi -2.663 3.243 1.631
Bi -0.498 9.104 6.617
Bi -4.004 3.550 4.729
Bi 0.567 10.326 1.572
Bi 3.104 12.469 7.315
Bi -0.126 5.386 7.375
Bi 0.214 14.869 3.578
Bi 0.228 0.844 5.369

---

2.
! Ni3Ir2 (SCAN, PBEsol geometry); values from VASP
! V ... 60.6 Å³/cell
! Space group ... R-3m, No. 166
! DFT formation energy ... 0.0213 eV per atom
&SYSTEM
  ibrav = 0, nat = 5, ntyp = 2
/
ATOMIC_SPECIES
Ni 58.69 Ni.upf
Ir 192.22 Ir.upf
CELL_PARAMETERS angstrom
2.621 0.000 0.000
1.311 2.270 0.000
1.311 0.757 10.179
ATOMIC_POSITIONS angstrom
Ni 3.932 2.270 6.055
Ni 1.311 0.757 4.125
Ni 0.000 0.000 0.000
Ir 2.621 1.513 2.068
Ir 2.621 1.513 8.111

---

3.
! FeCu2Ir (SCAN, PBEsol geometry); values from VASP
! V ... 49.2 Å³/cell
! Space group ... P2/m, No. 10
! DFT formation energy ... 0.0869 eV per atom
&SYSTEM
  ibrav = 0, nat = 4, ntyp = 3
/
ATOMIC_SPECIES
Cu 63.55 Cu.upf
Ir 192.22 Ir.upf
Fe 55.84 Fe.upf
CELL_PARAMETERS angstrom
2.543 0.000 -0.005
0.000 4.328 0.000
-0.270 0.000 4.468
ATOMIC_POSITIONS angstrom
Cu 1.636 0.000 3.376
Cu 0.636 0.000 1.087
Ir -0.135 2.164 2.234
Fe 1.271 2.164 -0.002

---

4.
! MnIn2Au (SCAN, PBEsol geometry); values from VASP
! V ... 73.6 Å³/cell
! Space group ... R-3m, No. 166
! DFT formation energy ... 0.0119 eV per atom
&SYSTEM
  ibrav = 0, nat = 4, ntyp = 3
/
ATOMIC_SPECIES
In 114.82 In.upf
Mn 54.94 Mn.upf
Au 196.97 Au.upf
CELL_PARAMETERS angstrom
-0.588 -2.058 -2.225
2.008 -2.275 -0.569
-3.726 -6.629 4.976
ATOMIC_POSITIONS angstrom
In -1.691 -8.174 1.583
In -0.615 -2.788 0.600
Mn -1.153 -5.481 1.092
Au 0.000 0.000 0.000